Below is a PBEsol-optimized structure of SrLaSb2, with properties calculated at the SCAN level. Values from VASP.

- Symmetry: No. 160

The structure in Quantum ESPRESSO input format:
```
&SYSTEM
  ibrav = 0, nat = 4, ntyp = 3
/
ATOMIC_SPECIES
Sr 87.62 Sr.upf
La 138.91 La.upf
Sb 121.76 Sb.upf
CELL_PARAMETERS angstrom
1.937 1.119 10.429
-1.937 1.119 10.429
0.000 -2.237 10.429
ATOMIC_POSITIONS angstrom
Sr 0.000 0.000 0.000
La 0.000 0.000 7.054
Sb 0.000 0.000 15.009
Sb 0.000 0.000 23.477
```

---

Below is a PBEsol-optimized structure of SrLaSb, with properties calculated at the SCAN level. Values from VASP.

- Symmetry: No. 216

The structure in Quantum ESPRESSO input format:
```
&SYSTEM
  ibrav = 0, nat = 3, ntyp = 3
/
ATOMIC_SPECIES
Sr 87.62 Sr.upf
La 138.91 La.upf
Sb 121.76 Sb.upf
CELL_PARAMETERS angstrom
0.000 3.721 3.721
3.721 0.000 3.721
3.721 3.721 0.000
ATOMIC_POSITIONS angstrom
Sr 0.000 0.000 0.000
La 5.581 5.581 5.581
Sb 1.860 1.860 1.860
```

---

Below is a PBEsol-optimized structure of SrLa3Sb, with properties calculated at the SCAN level. Values from VASP.

- Symmetry: No. 221

The structure in Quantum ESPRESSO input format:
```
&SYSTEM
  ibrav = 0, nat = 5, ntyp = 3
/
ATOMIC_SPECIES
Sr 87.62 Sr.upf
La 138.91 La.upf
Sb 121.76 Sb.upf
CELL_PARAMETERS angstrom
5.606 0.000 0.000
0.000 5.606 0.000
0.000 0.000 5.606
ATOMIC_POSITIONS angstrom
Sr 0.000 0.000 0.000
La 0.000 0.000 2.803
La 0.000 2.803 0.000
La 2.803 0.000 0.000
Sb 2.803 2.803 2.803
```

---

Below is a PBEsol-optimized structure of LaTa2Sb, with properties calculated at the SCAN level. Values from VASP.

- Symmetry: No. 216

The structure in Quantum ESPRESSO input format:
```
&SYSTEM
  ibrav = 0, nat = 4, ntyp = 3
/
ATOMIC_SPECIES
La 138.91 La.upf
Ta 180.95 Ta.upf
Sb 121.76 Sb.upf
CELL_PARAMETERS angstrom
0.000 3.519 3.519
3.519 0.000 3.519
3.519 3.519 0.000
ATOMIC_POSITIONS angstrom
La 0.000 0.000 0.000
Ta 1.759 1.759 1.759
Ta 3.519 3.519 3.519
Sb 5.278 5.278 5.278
```

---

Below is a PBEsol-optimized structure of La2TaSb, with properties calculated at the SCAN level. Values from VASP.

- Symmetry: No. 119

The structure in Quantum ESPRESSO input format:
```
&SYSTEM
  ibrav = 0, nat = 4, ntyp = 3
/
ATOMIC_SPECIES
La 138.91 La.upf
Ta 180.95 Ta.upf
Sb 121.76 Sb.upf
CELL_PARAMETERS angstrom
-2.308 2.308 4.747
2.308 -2.308 4.747
2.308 2.308 -4.747
ATOMIC_POSITIONS angstrom
La 0.000 0.000 0.000
La 0.000 2.308 2.373
Ta 2.308 0.000 2.373
Sb 0.000 0.000 4.747
```

---

Below is a PBEsol-optimized structure of LaTa2Sb, with properties calculated at the SCAN level. Values from VASP.

- Symmetry: No. 65

The structure in Quantum ESPRESSO input format:
```
&SYSTEM
  ibrav = 0, nat = 4, ntyp = 3
/
ATOMIC_SPECIES
La 138.91 La.upf
Ta 180.95 Ta.upf
Sb 121.76 Sb.upf
CELL_PARAMETERS angstrom
1.781 -2.551 0.000
1.781 2.551 0.000
0.000 0.000 9.505
ATOMIC_POSITIONS angstrom
La 0.000 0.000 0.000
Ta 1.781 0.000 2.620
Ta 1.781 0.000 6.884
Sb 0.000 0.000 4.752
```

---

no.,volume (Å³ per atom),total energy (eV/cell)
1,33.90,-140.4
2,34.34,-102.7
3,35.24,-185.5
4,21.78,-212.2
5,25.29,-190.1
6,21.59,-211.6